The following is a GGA-PBE calculation of an optimized crystal structure of CaPmNdHg, from Alexandria via LeMat-Bulk.

The structure in POSCAR format:
```
CaPmNdHg
1.0
0.0000 3.9612 3.9612
3.9612 0.0000 3.9612
3.9612 3.9612 0.0000
Ca Pm Nd Hg
1 1 1 1
direct
0.0000 0.0000 0.0000 Ca
0.2500 0.2500 0.2500 Pm
0.5000 0.5000 0.5000 Nd
0.7500 0.7500 0.7500 Hg
```

energy relative to the elements = -0.0001 eV/atom
SG = No. 216
calculated density = 7.08 Mg/m³